VASP calculation (PBE-GGA) on YGa6Ru4 after structural relaxation.

Results
energy relative to the elements	-0.21	eV per atom
E	-5.8247	eV per atom
total magnetic moment	0.00	μB/f.u.
density of states at the Fermi level	0.802	states/eV/atom

Lattice parameters (Å, degrees): 6.601 6.601 6.601 88.89 120.64 120.64
Atoms (fractional coordinates):
1 Ru 0.330 0.747 0.747
2 Ru 0.670 0.417 0.417
3 Ru 0.000 0.253 0.583
4 Ru 0.000 0.583 0.253
5 Ga 0.000 0.893 0.522
6 Ga 0.500 0.500 0.000
7 Ga 0.371 0.478 0.478
8 Ga 0.629 0.107 0.107
9 Ga 0.000 0.522 0.893
10 Ga 0.500 0.000 0.500
11 Y 0.000 0.000 0.000